[1]
Below is a geometry-optimized Hf3V8Mo structure, with properties calculated at the PBE level.

Geometry as CIF:
```
data_Hf3V8Mo
_chemical_formula_sum 'Hf9 V24 Mo3'
_cell_length_a 5.0886
_cell_length_b 5.0886
_cell_length_c 25.3585
_cell_angle_alpha 90.00
_cell_angle_beta 90.00
_cell_angle_gamma 120.00
_space_group_name_H-M_alt 'R 3 m'
_space_group_IT_number 160
_space_group_name_Hall 'R 3 -2"'
loop_
_atom_site_label
_atom_site_fract_x
_atom_site_fract_y
_atom_site_fract_z
Hf1 0.0000 0.0000 0.0000
Hf2 0.0000 0.0000 0.1265
Hf3 0.0000 0.0000 0.6226
V1 0.0000 0.0000 0.3109
V2 0.0000 0.0000 0.8131
V3 0.0020 0.5010 0.0648
V4 0.1678 0.3355 0.8936
Mo1 0.0000 0.0000 0.4999
```

Computed properties:
Magnetic moment in μB per cell: 0.00
DOS(E_F) in states/eV/f.u.: 24.635
Energy relative to the elements in meV/atom: 1
Offset from the most stable computed form in kJ per mole of atoms: 1.4
Volume in Å³/f.u.: 189.6


[2]
Below is a geometry-optimized HfVMo2 structure, with properties calculated at the PBE level.

Geometry as CIF:
```
data_HfVMo2
_chemical_formula_sum 'Hf4 V4 Mo8'
_cell_length_a 3.748
_cell_length_b 3.748
_cell_length_c 20.193
_cell_angle_alpha 90.00
_cell_angle_beta 90.00
_cell_angle_gamma 90.00
_space_group_name_H-M_alt 'I -4 2 d'
_space_group_IT_number 122
_space_group_name_Hall 'I -4 2bw'
loop_
_atom_site_label
_atom_site_fract_x
_atom_site_fract_y
_atom_site_fract_z
Hf1 0.000 0.000 0.000
V1 0.000 0.000 0.500
Mo1 0.244 0.750 0.625
```

Computed properties:
Magnetic moment in μB per cell: 0.00
DOS(E_F) in states/eV/f.u.: 3.676
Energy relative to the elements in meV/atom: 683
Offset from the most stable computed form in kJ per mole of atoms: 68.3
Volume in Å³/f.u.: 70.9


[3]
Below is a geometry-optimized HfV4Mo5 structure, with properties calculated at the PBE level.

Geometry as CIF:
```
data_HfV4Mo5
_chemical_formula_sum 'Hf1 V4 Mo5'
_cell_length_a 3.108
_cell_length_b 3.108
_cell_length_c 15.818
_cell_angle_alpha 90.00
_cell_angle_beta 90.00
_cell_angle_gamma 90.00
_space_group_name_H-M_alt 'P 4/m m m'
_space_group_IT_number 123
_space_group_name_Hall '-P 4 2'
loop_
_atom_site_label
_atom_site_fract_x
_atom_site_fract_y
_atom_site_fract_z
Hf1 0.000 0.000 0.000
V1 0.000 0.000 0.210
V2 0.000 0.000 0.404
Mo1 0.500 0.500 0.116
Mo2 0.500 0.500 0.307
Mo3 0.500 0.500 0.500
```

Computed properties:
Magnetic moment in μB per cell: 0.00
DOS(E_F) in states/eV/f.u.: 10.574
Energy relative to the elements in meV/atom: -83
Volume in Å³/f.u.: 152.8


[4]
Below is a geometry-optimized HfVMo14 structure, with properties calculated at the PBE level.

Geometry as CIF:
```
data_HfVMo14
_chemical_formula_sum 'Hf2 V2 Mo28'
_cell_length_a 6.336
_cell_length_b 8.986
_cell_length_c 8.970
_cell_angle_alpha 90.00
_cell_angle_beta 90.00
_cell_angle_gamma 90.00
_space_group_name_H-M_alt 'C m m m'
_space_group_IT_number 65
_space_group_name_Hall '-C 2 2'
loop_
_atom_site_label
_atom_site_fract_x
_atom_site_fract_y
_atom_site_fract_z
Hf1 0.000 0.000 0.000
V1 0.000 0.500 0.000
Mo1 0.000 0.000 0.500
Mo2 0.000 0.251 0.250
Mo3 0.000 0.500 0.500
Mo4 0.246 0.500 0.254
Mo5 0.250 0.250 0.000
Mo6 0.250 0.250 0.500
```

Computed properties:
Magnetic moment in μB per cell: 0.00
DOS(E_F) in states/eV/f.u.: 8.518
Energy relative to the elements in meV/atom: -57
Volume in Å³/f.u.: 255.4


[5]
Below is a geometry-optimized HfV4Mo structure, with properties calculated at the PBE level.

Geometry as CIF:
```
data_HfV4Mo
_chemical_formula_sum 'Hf4 V16 Mo4'
_cell_length_a 7.157
_cell_length_b 7.157
_cell_length_c 7.157
_cell_angle_alpha 90.00
_cell_angle_beta 90.00
_cell_angle_gamma 90.00
_space_group_name_H-M_alt 'F -4 3 m'
_space_group_IT_number 216
_space_group_name_Hall 'F -4 2 3'
loop_
_atom_site_label
_atom_site_fract_x
_atom_site_fract_y
_atom_site_fract_z
Hf1 0.000 0.000 0.000
V1 0.125 0.125 0.375
Mo1 0.250 0.250 0.750
```

Computed properties:
Magnetic moment in μB per cell: 0.00
DOS(E_F) in states/eV/f.u.: 12.358
Energy relative to the elements in meV/atom: -31
Volume in Å³/f.u.: 91.7


[6]
Below is a geometry-optimized HfVMo2 structure, with properties calculated at the PBE level.

Geometry as CIF:
```
data_HfVMo2
_chemical_formula_sum 'Hf4 V4 Mo8'
_cell_length_a 6.393
_cell_length_b 6.393
_cell_length_c 6.393
_cell_angle_alpha 90.00
_cell_angle_beta 90.00
_cell_angle_gamma 90.00
_space_group_name_H-M_alt 'F m -3 m'
_space_group_IT_number 225
_space_group_name_Hall '-F 4 2 3'
loop_
_atom_site_label
_atom_site_fract_x
_atom_site_fract_y
_atom_site_fract_z
Hf1 0.000 0.000 0.000
V1 0.000 0.000 0.500
Mo1 0.250 0.250 0.250
```

Computed properties:
Magnetic moment in μB per cell: 0.00
DOS(E_F) in states/eV/f.u.: 4.734
Energy relative to the elements in meV/atom: 4
Offset from the most stable computed form in kJ per mole of atoms: 2.8
Volume in Å³/f.u.: 65.3


[7]
Below is a geometry-optimized Hf2V3Mo structure, with properties calculated at the PBE level.

Geometry as CIF:
```
data_Hf2V3Mo
_chemical_formula_sum 'Hf6 V9 Mo3'
_cell_length_a 5.3030
_cell_length_b 5.3030
_cell_length_c 12.3902
_cell_angle_alpha 90.00
_cell_angle_beta 90.00
_cell_angle_gamma 120.00
_space_group_name_H-M_alt 'R -3 m'
_space_group_IT_number 166
_space_group_name_Hall '-R 3 2"'
loop_
_atom_site_label
_atom_site_fract_x
_atom_site_fract_y
_atom_site_fract_z
Hf1 0.0000 0.0000 0.1255
V1 0.0000 0.5000 0.0000
Mo1 0.0000 0.0000 0.5000
```

Computed properties:
Magnetic moment in μB per cell: 0.00
DOS(E_F) in states/eV/f.u.: 9.477
Energy relative to the elements in meV/atom: -88
Volume in Å³/f.u.: 100.5


[8]
Below is a geometry-optimized HfVMo2 structure, with properties calculated at the PBE level.

Geometry as CIF:
```
data_HfVMo2
_chemical_formula_sum 'Hf2 V2 Mo4'
_cell_length_a 9.125
_cell_length_b 5.208
_cell_length_c 2.948
_cell_angle_alpha 90.00
_cell_angle_beta 91.68
_cell_angle_gamma 90.00
_space_group_name_H-M_alt 'C 1 2/m 1'
_space_group_IT_number 12
_space_group_name_Hall '-C 2y'
loop_
_atom_site_label
_atom_site_fract_x
_atom_site_fract_y
_atom_site_fract_z
Hf1 0.000 0.000 0.000
V1 0.000 0.500 0.000
Mo1 0.227 0.500 0.544
```

Computed properties:
Magnetic moment in μB per cell: 0.00
DOS(E_F) in states/eV/f.u.: 4.370
Energy relative to the elements in meV/atom: 598
Offset from the most stable computed form in kJ per mole of atoms: 60.0
Volume in Å³/f.u.: 70.0


[9]
Below is a geometry-optimized Hf2V2Mo structure, with properties calculated at the PBE level.

Geometry as CIF:
```
data_Hf2V2Mo
_chemical_formula_sum 'Hf4 V4 Mo2'
_cell_length_a 6.244
_cell_length_b 6.244
_cell_length_c 4.630
_cell_angle_alpha 90.00
_cell_angle_beta 90.00
_cell_angle_gamma 90.00
_space_group_name_H-M_alt 'P 4/m b m'
_space_group_IT_number 127
_space_group_name_Hall '-P 4 2ab'
loop_
_atom_site_label
_atom_site_fract_x
_atom_site_fract_y
_atom_site_fract_z
Hf1 0.170 0.330 0.000
V1 0.139 0.639 0.500
Mo1 0.000 0.000 0.500
```

Computed properties:
Magnetic moment in μB per cell: 0.01
DOS(E_F) in states/eV/f.u.: 7.558
Energy relative to the elements in meV/atom: 150
Volume in Å³/f.u.: 90.3


[10]
Below is a geometry-optimized HfVMo2 structure, with properties calculated at the PBE level.

Geometry as CIF:
```
data_HfVMo2
_chemical_formula_sum 'Hf1 V1 Mo2'
_cell_length_a 4.511
_cell_length_b 4.511
_cell_length_c 3.226
_cell_angle_alpha 90.00
_cell_angle_beta 90.00
_cell_angle_gamma 90.00
_space_group_name_H-M_alt 'P 4/m m m'
_space_group_IT_number 123
_space_group_name_Hall '-P 4 2'
loop_
_atom_site_label
_atom_site_fract_x
_atom_site_fract_y
_atom_site_fract_z
Hf1 0.000 0.000 0.000
V1 0.500 0.500 0.000
Mo1 0.000 0.500 0.500
```

Computed properties:
Magnetic moment in μB per cell: 0.00
DOS(E_F) in states/eV/f.u.: 5.885
Energy relative to the elements in meV/atom: 37
Offset from the most stable computed form in kJ per mole of atoms: 6.0
Volume in Å³/f.u.: 65.6


[11]
Below is a geometry-optimized HfMoW2 structure, with properties calculated at the PBE level.

Geometry as CIF:
```
data_HfMoW2
_chemical_formula_sum 'Hf4 Mo4 W8'
_cell_length_a 7.389
_cell_length_b 7.389
_cell_length_c 5.487
_cell_angle_alpha 90.00
_cell_angle_beta 90.00
_cell_angle_gamma 90.00
_space_group_name_H-M_alt 'I -4 2 d'
_space_group_IT_number 122
_space_group_name_Hall 'I -4 2bw'
loop_
_atom_site_label
_atom_site_fract_x
_atom_site_fract_y
_atom_site_fract_z
Hf1 0.000 0.000 0.000
Mo1 0.000 0.000 0.500
W1 0.222 0.250 0.625
```

Computed properties:
Magnetic moment in μB per cell: 0.00
DOS(E_F) in states/eV/f.u.: 3.199
Energy relative to the elements in meV/atom: 783
Offset from the most stable computed form in kJ per mole of atoms: 74.7
Volume in Å³/f.u.: 74.9


[12]
Below is a geometry-optimized Hf2MoW structure, with properties calculated at the PBE level.

Geometry as CIF:
```
data_Hf2MoW
_chemical_formula_sum 'Hf2 Mo1 W1'
_cell_length_a 3.317
_cell_length_b 3.317
_cell_length_c 6.672
_cell_angle_alpha 90.00
_cell_angle_beta 90.00
_cell_angle_gamma 90.00
_space_group_name_H-M_alt 'P 4/m m m'
_space_group_IT_number 123
_space_group_name_Hall '-P 4 2'
loop_
_atom_site_label
_atom_site_fract_x
_atom_site_fract_y
_atom_site_fract_z
Hf1 0.000 0.000 0.249
Mo1 0.500 0.500 0.000
W1 0.500 0.500 0.500
```

Computed properties:
Magnetic moment in μB per cell: 0.00
DOS(E_F) in states/eV/f.u.: 7.448
Energy relative to the elements in meV/atom: 88
Offset from the most stable computed form in kJ per mole of atoms: 0.0
Volume in Å³/f.u.: 73.4


Question: What is the magnetic moment in the third record?
Answer: 0.00 μB per cell